No. 1
Material: HoEr9Tm2
Method: DFT, PBE-GGA
State: relaxed

Values from the calculation:
**Crystal system**: hexagonal
**VASP energy**: -4.495 eV per atom
**Fermi-level density of states**: 19.55 states/eV per cell
**Distance to the lowest polymorph of the same formula**: 0.0296 eV/atom

Cell lengths 3.453, 11.050, 11.050 Å; angles 120.00, 90.00, 90.00 degrees
Atoms (fractional coordinates):
1 Ho 0.000 0.000 0.000
2 Er 0.000 0.000 0.500
3 Er 0.000 0.500 0.500
4 Er 0.000 0.500 0.000
5 Er 0.500 0.354 0.177
6 Er 0.500 0.177 0.823
7 Er 0.500 0.177 0.354
8 Er 0.500 0.823 0.646
9 Er 0.500 0.823 0.177
10 Er 0.500 0.646 0.823
11 Tm 0.000 0.333 0.667
12 Tm 0.000 0.667 0.333

No. 2
Material: Pu2HfNpN4
Method: DFT, PBE-GGA
State: relaxed

Values from the calculation:
**Energy relative to the elements, uncorrected**: -1.367 eV per atom
**Crystal system**: monoclinic
**VASP energy**: -11.974 eV per atom
**Fermi-level density of states**: 16.21 states/eV per cell

Cell lengths 3.383, 5.894, 5.911 Å; angles 108.89, 90.00, 90.00 degrees
Each line ends with the local moment (μB).
Atoms (fractional coordinates):
1 Pu 0.500 0.000 0.500  4.74
2 Pu 0.000 0.500 0.500  4.97
3 Hf 0.000 0.000 0.000  0.03
4 Np 0.500 0.500 0.000  3.01
5 N 0.500 0.233 0.226  -0.12
6 N 0.500 0.767 0.774  -0.12
7 N 0.000 0.242 0.769  -0.15
8 N 0.000 0.758 0.231  -0.15

No. 3
Material: Y4PCSe2
Method: DFT, PBE-GGA
State: relaxed

Values from the calculation:
**Energy relative to the elements, uncorrected**: -1.472 eV per atom
**Crystal system**: monoclinic
**VASP energy**: -7.404 eV per atom
**Fermi-level density of states**: 1.81 states/eV per cell

Cell lengths 3.900, 6.820, 6.988 Å; angles 108.70, 90.00, 90.00 degrees
Atoms (fractional coordinates):
1 Y 0.500 0.220 0.211
2 Y 0.500 0.780 0.789
3 Y 0.000 0.240 0.782
4 Y 0.000 0.760 0.218
5 P 0.500 0.500 0.000
6 C 0.000 0.000 0.000
7 Se 0.500 0.000 0.500
8 Se 0.000 0.500 0.500

No. 4
Material: ErMg2Zr
Method: DFT, PBE-GGA
State: relaxed

Values from the calculation:
**Crystal system**: trigonal
**VASP energy**: -3.980 eV per atom
**Fermi-level density of states**: 4.53 states/eV per cell
**Distance to the lowest polymorph of the same formula**: 0.0877 eV/atom

Cell lengths 3.236, 3.236, 11.106 Å; angles 81.62, 81.62, 60.00 degrees
Atoms (fractional coordinates):
1 Mg 0.747 0.747 0.759
2 Mg 0.253 0.253 0.241
3 Zr 0.000 0.000 0.000
4 Er 0.500 0.500 0.500

No. 5
Material: KPt
Method: DFT, PBE-GGA
State: relaxed

Values from the calculation:
**Crystal system**: tetragonal
**VASP energy**: -3.552 eV per atom
**Fermi-level density of states**: 7.85 states/eV per cell

Cell lengths 11.656, 11.656, 4.699 Å; angles 90.00, 90.00, 90.00 degrees
Atoms (fractional coordinates):
1 K 0.244 0.500 0.000
2 K 0.756 0.500 0.000
3 K 0.500 0.756 0.000
4 K 0.500 0.244 0.000
5 K 0.744 0.000 0.500
6 K 0.256 0.000 0.500
7 K 0.000 0.256 0.500
8 K 0.000 0.744 0.500
9 Pt 0.774 0.774 0.000
10 Pt 0.774 0.226 0.000
11 Pt 0.226 0.774 0.000
12 Pt 0.226 0.226 0.000
13 Pt 0.274 0.274 0.500
14 Pt 0.274 0.726 0.500
15 Pt 0.726 0.274 0.500
16 Pt 0.726 0.726 0.500

No. 6
Material: Pr2Dy4Sn3O2
Method: DFT, PBE-GGA
State: relaxed

Values from the calculation:
**Energy relative to the elements, uncorrected**: -1.539 eV per atom
**Crystal system**: tetragonal
**VASP energy**: -6.075 eV per atom
**Fermi-level density of states**: 7.85 states/eV per cell

Cell lengths 4.677, 4.677, 13.224 Å; angles 100.19, 100.19, 90.00 degrees
Atoms (fractional coordinates):
1 Pr 0.305 0.305 0.610
2 Pr 0.695 0.695 0.390
3 Dy 0.418 0.918 0.837
4 Dy 0.918 0.418 0.837
5 Dy 0.082 0.582 0.163
6 Dy 0.582 0.082 0.163
7 Sn 0.000 0.000 0.000
8 Sn 0.174 0.174 0.348
9 Sn 0.826 0.826 0.652
10 O 0.408 0.408 0.816
11 O 0.592 0.592 0.184

No. 7
Material: Tb2Pr6DyEr3
Method: DFT, PBE-GGA
State: relaxed

Values from the calculation:
**Crystal system**: monoclinic
**VASP energy**: -4.674 eV per atom
**Fermi-level density of states**: 12.93 states/eV per cell

Cell lengths 6.298, 6.298, 11.863 Å; angles 95.06, 95.06, 119.99 degrees
Atoms (fractional coordinates):
1 Tb 0.333 0.667 0.000
2 Tb 0.667 0.333 0.000
3 Pr 0.916 0.583 0.749
4 Pr 0.751 0.751 0.251
5 Pr 0.084 0.417 0.251
6 Pr 0.583 0.916 0.749
7 Pr 0.249 0.249 0.749
8 Pr 0.417 0.084 0.251
9 Dy 0.000 0.000 0.000
10 Er 0.167 0.833 0.500
11 Er 0.833 0.167 0.500
12 Er 0.500 0.500 0.500

No. 8
Material: Nd8Tl5Cd
Method: DFT, PBE-GGA
State: relaxed

Values from the calculation:
**Crystal system**: tetragonal
**VASP energy**: -3.894 eV per atom
**Fermi-level density of states**: 17.79 states/eV per cell

Cell lengths 8.328, 8.328, 8.328 Å; angles 109.48, 109.45, 109.48 degrees
Atoms (fractional coordinates):
1 Nd 0.128 0.753 0.026
2 Nd 0.974 0.102 0.727
3 Nd 0.768 0.245 0.369
4 Nd 0.631 0.398 0.875
5 Nd 0.477 0.602 0.232
6 Nd 0.625 0.898 0.872
7 Nd 0.273 0.247 0.375
8 Nd 0.125 0.755 0.523
9 Tl 0.004 0.377 0.129
10 Tl 0.871 0.875 0.248
11 Tl 0.752 0.623 0.627
12 Tl 0.500 0.000 0.500
13 Tl 0.373 0.125 0.996
14 Cd 0.250 0.500 0.750

No. 9
Material: YZnB
Method: DFT, PBE-GGA
State: relaxed

Values from the calculation:
**Crystal system**: monoclinic
**VASP energy**: -5.002 eV per atom
**Fermi-level density of states**: 3.34 states/eV per cell
**Distance to the lowest polymorph of the same formula**: 0.1768 eV/atom

Cell lengths 3.255, 5.360, 6.255 Å; angles 81.28, 90.01, 72.31 degrees
Atoms (fractional coordinates):
1 Y 0.507 0.909 0.421
2 Y 0.869 0.186 0.880
3 Zn 0.211 0.503 0.186
4 Zn 0.130 0.664 0.795
5 B 0.789 0.346 0.456
6 B 0.259 0.407 0.539

No. 10
Material: ZnRu2Au
Method: DFT, PBE-GGA
State: relaxed

Values from the calculation:
**Crystal system**: monoclinic
**VASP energy**: -5.629 eV per atom
**Fermi-level density of states**: 3.92 states/eV per cell

Cell lengths 4.684, 4.684, 4.830 Å; angles 81.19, 81.19, 35.08 degrees
Atoms (fractional coordinates):
1 Au 0.250 0.250 0.274
2 Ru 0.004 0.004 0.958
3 Ru 0.747 0.747 0.781
4 Zn 0.498 0.498 0.487

No. 11
Material: Na4Ga
Method: DFT, PBE-GGA
State: relaxed

Values from the calculation:
**Crystal system**: cubic
**VASP energy**: -1.513 eV per atom
**Fermi-level density of states**: 3.24 states/eV per cell

Cell lengths 5.754, 5.754, 5.754 Å; angles 90.00, 90.00, 90.00 degrees
Atoms (fractional coordinates):
1 Na 0.000 0.000 0.000
2 Na 0.500 0.000 0.500
3 Na 0.000 0.500 0.500
4 Na 0.500 0.500 0.000
5 Ga 0.500 0.500 0.500

No. 12
Material: Sc2Ti2Al
Method: DFT, PBE-GGA
State: relaxed

Values from the calculation:
**Crystal system**: tetragonal
**VASP energy**: -6.127 eV per atom
**Fermi-level density of states**: 8.07 states/eV per cell
**Distance to the lowest polymorph of the same formula**: 0.3062 eV/atom

Cell lengths 3.660, 3.660, 8.369 Å; angles 77.37, 77.37, 90.00 degrees
Each line ends with the local moment (μB).
Atoms (fractional coordinates):
1 Sc 0.403 0.403 0.194  0.06
2 Sc 0.597 0.597 0.806  0.06
3 Al 0.000 0.000 0.000  0.00
4 Ti 0.750 0.250 0.500  0.13
5 Ti 0.250 0.750 0.500  0.13